(1)
Material: ScPSe2
Method: DFT, PBE-GGA
State: optimized geometry

SG = Imm2

Lattice parameters (Å, degrees): 7.863 7.863 7.863 154.15 153.39 37.44
Sites, in units of the cell vectors:
P 0.542 0.542 0.000
Se 0.256 0.756 0.500
Se 0.017 0.017 0.000
Sc 0.685 0.185 0.500


(2)
Material: Sc2PSe
Method: DFT, PBE-GGA
State: optimized geometry

energy above the lowest structure with this stoichiometry = 522.7 meV/atom
SG = Fm-3m

Lattice parameters (Å, degrees): 4.720 4.720 4.720 60.00 60.00 60.00
Site moments in Bohr magnetons follow the coordinates.
Sites, in units of the cell vectors:
Sc 0.250 0.250 0.250  0.30
Sc 0.750 0.750 0.750  0.30
P 0.000 0.000 0.000  -0.01
Se 0.500 0.500 0.500  -0.01


(3)
Material: ScP2Se
Method: DFT, PBE-GGA
State: optimized geometry

SG = P4/mmm

Lattice parameters (Å, degrees): 4.459 4.459 3.535 90.00 90.00 90.00
Sites, in units of the cell vectors:
P 0.000 0.000 0.000
P 0.500 0.500 0.000
Sc 0.500 0.000 0.500
Se 0.000 0.500 0.500


(4)
Material: Sc4PSe
Method: DFT, PBE-GGA
State: optimized geometry

SG = F-43m

Lattice parameters (Å, degrees): 5.623 5.623 5.623 60.00 60.00 60.00
Sites, in units of the cell vectors:
Sc 0.374 0.374 0.877
Sc 0.877 0.374 0.374
Sc 0.374 0.374 0.374
Sc 0.374 0.877 0.374
P 0.000 0.000 0.000
Se 0.750 0.750 0.750


(5)
Material: Sc2PSe
Method: DFT, PBE-GGA
State: optimized geometry

energy above the lowest structure with this stoichiometry = 468.4 meV/atom
SG = I-42d

Lattice parameters (Å, degrees): 5.977 5.977 7.320 65.90 65.90 90.00
Sites, in units of the cell vectors:
Sc 0.375 0.394 0.750
Sc 0.606 0.125 0.250
Sc 0.144 0.625 0.250
Sc 0.875 0.856 0.750
P 0.500 0.500 0.000
P 0.250 0.750 0.500
Se 0.750 0.250 0.500
Se 0.000 0.000 0.000


(6)
Material: ScPSe2
Method: DFT, PBE-GGA
State: optimized geometry

SG = I-42d

Lattice parameters (Å, degrees): 5.136 5.136 8.441 72.29 72.29 90.00
Sites, in units of the cell vectors:
Se 0.875 0.860 0.750
Se 0.375 0.390 0.750
Se 0.610 0.125 0.250
Se 0.140 0.625 0.250
P 0.500 0.500 0.000
P 0.250 0.750 0.500
Sc 0.750 0.250 0.500
Sc 0.000 0.000 0.000


(7)
Material: Sc2PSe
Method: DFT, PBE-GGA
State: optimized geometry

energy above the lowest structure with this stoichiometry = 488.5 meV/atom
SG = C2/m

Lattice parameters (Å, degrees): 4.864 4.864 3.357 79.26 79.26 91.43
Sites, in units of the cell vectors:
Sc 0.500 0.000 0.000
Sc 0.000 0.500 0.000
P 0.000 0.000 0.500
Se 0.500 0.500 0.500


(8)
Material: ScPSe2
Method: DFT, PBE-GGA
State: optimized geometry

SG = I4/mmm

Lattice parameters (Å, degrees): 5.833 5.833 5.833 140.96 140.96 56.40
Sites, in units of the cell vectors:
P 0.500 0.500 0.000
Sc 0.000 0.000 0.000
Se 0.250 0.750 0.500
Se 0.750 0.250 0.500


(9)
Material: Sc4P2Se
Method: DFT, PBE-GGA
State: optimized geometry

SG = R-3m

Lattice parameters (Å, degrees): 3.730 3.730 12.309 81.29 81.29 60.00
Site moments in Bohr magnetons follow the coordinates.
Sites, in units of the cell vectors:
P 0.422 0.422 0.735  0.00
P 0.578 0.578 0.265  0.00
Se 0.000 0.000 0.000  0.00
Sc 0.715 0.715 0.856  0.00
Sc 0.285 0.285 0.144  0.00
Sc 0.872 0.872 0.385  0.15
Sc 0.128 0.128 0.615  0.15


(10)
Material: ScPSe2
Method: DFT, PBE-GGA
State: optimized geometry

SG = Cm

Lattice parameters (Å, degrees): 4.906 4.906 5.823 87.17 87.17 43.31
Sites, in units of the cell vectors:
Se 0.064 0.064 0.087
Se 0.257 0.257 0.684
P 0.447 0.447 0.394
Sc 0.732 0.732 0.335


(11)
Material: Sc5P4Se
Method: DFT, PBE-GGA
State: optimized geometry

SG = I4/m

Lattice parameters (Å, degrees): 5.344 6.542 6.542 80.40 65.90 65.90
Sites, in units of the cell vectors:
Se 0.001 0.000 0.000
Sc 0.105 0.586 0.206
Sc 0.897 0.414 0.794
Sc 0.691 0.206 0.414
Sc 0.501 0.000 0.000
Sc 0.311 0.794 0.586
P 0.398 0.401 0.804
P 0.799 0.804 0.599
P 0.604 0.599 0.196
P 0.203 0.196 0.401


(12)
Material: Sc2PSe
Method: DFT, PBE-GGA
State: optimized geometry

energy above the lowest structure with this stoichiometry = 48.3 meV/atom
SG = P2/m

Lattice parameters (Å, degrees): 3.813 6.586 5.378 35.32 90.00 90.00
Sites, in units of the cell vectors:
Sc 0.000 0.000 0.000
Sc 0.500 0.500 0.000
Se 0.500 0.500 0.500
P 0.000 0.000 0.500


Going through the records in order, we get uncorrected formation energy values of -3.27, -4.45, -0.74, 0.26, -4.67, -1.31, -4.59, -1.34, -9.23, -2.60, -15.67, -6.35 eV/f.u..
Going through the records in order, we get D(E_F) values of 0.316, 1.006, 0.541, 1.038, 0.721, 0.570, 0.592, 0.519, 0.724, 0.469, 0.253, 0.384 states/eV/atom.